Density functional theory data (meta-GGA SCAN) for a crystal of TaCr2Tc relaxed with PBEsol.

a b c (Å): 4.9665 4.9665 4.9665
angles (deg): 144.85 129.22 63.26
With the nearest neighbours (Å) after each atom.
Element x y z (fractional)
1 Ta 0.0000 0.0000 0.0000  6 Cr 2.61-2.63, 2 Tc 2.65
2 Cr 0.5063 0.5063 0.0000  2 Cr 2.51, 2 Tc 2.58, 4 Ta 2.61
3 Cr 0.7448 0.2448 0.5000  2 Cr 2.51, 4 Tc 2.61, 2 Ta 2.63
4 Tc 0.2585 0.7585 0.5000  6 Cr 2.58-2.61, 2 Ta 2.65

volume	13.51	Å³ per atom
formation energy from the elements	-0.30	eV/f.u.



Density functional theory data (meta-GGA SCAN) for a crystal of BeOs2Rh relaxed with PBEsol.

a b c (Å): 4.8561 4.8561 4.8561
angles (deg): 146.69 127.94 63.22
With the nearest neighbours (Å) after each atom.
Element x y z (fractional)
1 Be 0.0000 0.0000 0.0000  2 Rh 2.26, 2 Os 2.33
2 Os 0.2253 0.7253 0.5000  2 Be 2.33, 4 Rh 2.59
3 Os 0.5004 0.5004 0.0000  4 Be 2.55, 6 Os 2.67-2.83, 4 Rh 2.73-2.78
4 Rh 0.7847 0.2847 0.5000  2 Be 2.26

volume	12.27	Å³ per atom
formation energy from the elements	-0.27	eV/f.u.



Density functional theory data (meta-GGA SCAN) for a crystal of NiOs3 relaxed with PBEsol.

a b c (Å): 4.2414 4.2414 4.2414
angles (deg): 60.00 60.00 60.00
With the nearest neighbours (Å) after each atom.
Element x y z (fractional)
1 Ni 0.0000 0.0000 0.0000  8 Os 2.60
2 Os 0.2500 0.2500 0.2500  4 Os 2.60, 4 Ni 2.60
3 Os 0.5000 0.5000 0.5000  8 Os 2.60
4 Os 0.7500 0.7500 0.7500  4 Os 2.60, 4 Ni 2.60

volume	13.49	Å³ per atom
formation energy from the elements	2.43	eV/f.u.



Density functional theory data (meta-GGA SCAN) for a crystal of ZrCuTe2 relaxed with PBEsol.

a b c (Å): 4.9489 4.9489 4.9489
angles (deg): 60.00 60.00 60.00
With the nearest neighbours (Å) after each atom.
Element x y z (fractional)
1 Zr 0.0000 0.0000 0.0000  8 Te 3.03
2 Cu 0.5000 0.5000 0.5000  8 Te 3.03
3 Te 0.2500 0.2500 0.2500  4 Zr 3.03, 4 Cu 3.03
4 Te 0.7500 0.7500 0.7500  4 Zr 3.03, 4 Cu 3.03

volume	21.43	Å³ per atom
formation energy (no corrections)	-48	kJ/mol of formula units



Density functional theory data (meta-GGA SCAN) for a crystal of Sc3SeS relaxed with PBEsol.

a b c (Å): 4.9119 4.9119 4.9119
angles (deg): 90.00 90.00 90.00
With the nearest neighbours (Å) after each atom.
Element x y z (fractional)
1 Sc 0.0000 0.0000 0.5000  2 Se 2.46
2 Sc 0.0000 0.5000 0.0000  2 Se 2.46
3 Sc 0.5000 0.0000 0.0000  2 Se 2.46
4 Se 0.0000 0.0000 0.0000  6 Sc 2.46
5 S 0.5000 0.5000 0.5000  12 Sc 3.47

volume	23.70	Å³ per atom
formation energy (no corrections)	-185	kJ/mol of formula units



Density functional theory data (meta-GGA SCAN) for a crystal of RbScCl3 relaxed with PBEsol.

a b c (Å): 7.1916 7.1916 5.8292
angles (deg): 90.00 90.00 120.00
With the nearest neighbours (Å) after each atom.
Element x y z (fractional)
1 Rb 0.3333 0.6667 0.2500  12 Cl 3.57-3.60
2 Rb 0.6667 0.3333 0.7500  12 Cl 3.57-3.60
3 Sc 0.0000 0.0000 0.0000  6 Cl 2.55
4 Sc 0.0000 0.0000 0.5000  6 Cl 2.55
5 Cl 0.1683 0.3366 0.7500  2 Sc 2.55
6 Cl 0.1683 0.8317 0.7500  2 Sc 2.55
7 Cl 0.3366 0.1683 0.2500  2 Sc 2.55
8 Cl 0.6634 0.8317 0.7500  2 Sc 2.55
9 Cl 0.8317 0.1683 0.2500  2 Sc 2.55
10 Cl 0.8317 0.6634 0.2500  2 Sc 2.55

volume	26.11	Å³ per atom
formation energy (no corrections)	-1053	kJ/mol of formula units



Density functional theory data (meta-GGA SCAN) for a crystal of Ba2CaP relaxed with PBEsol.

a b c (Å): 9.3568 9.3568 9.3568
angles (deg): 156.19 152.14 36.97
With the nearest neighbours (Å) after each atom.
Element x y z (fractional)
1 Ba 0.1505 0.1505 0.0000  2 P 3.30, 2 Ca 3.49
2 Ba 0.8495 0.8495 0.0000  2 P 3.30, 2 Ca 3.49
3 Ca 0.5000 0.0000 0.5000  4 P 2.97
4 P 0.0000 0.5000 0.5000  4 Ca 2.97, 4 Ba 3.30

volume	38.59	Å³ per atom
formation energy from the elements	-2.34	eV/f.u.



Density functional theory data (meta-GGA SCAN) for a crystal of Hf3TeIr relaxed with PBEsol.

a b c (Å): 5.0079 5.0079 5.0079
angles (deg): 90.00 90.00 90.00
With the nearest neighbours (Å) after each atom.
Element x y z (fractional)
1 Hf 0.0000 0.0000 0.5000  2 Te 2.50
2 Hf 0.0000 0.5000 0.0000  2 Te 2.50
3 Hf 0.5000 0.0000 0.0000  2 Te 2.50
4 Te 0.0000 0.0000 0.0000  6 Hf 2.50
5 Ir 0.5000 0.5000 0.5000  12 Hf 3.54

volume	25.12	Å³ per atom
formation energy (no corrections)	615	kJ/mol of formula units



Density functional theory data (meta-GGA SCAN) for a crystal of MoIrPt relaxed with PBEsol.

a b c (Å): 4.2007 4.2007 4.2007
angles (deg): 60.00 60.00 60.00
With the nearest neighbours (Å) after each atom.
Element x y z (fractional)
1 Mo 0.0000 0.0000 0.0000  4 Pt 2.57
2 Ir 0.5000 0.5000 0.5000  4 Pt 2.57
3 Pt 0.7500 0.7500 0.7500  4 Mo 2.57, 4 Ir 2.57

volume	17.47	Å³ per atom
formation energy from the elements	1.58	eV/f.u.



Density functional theory data (meta-GGA SCAN) for a crystal of CrPbO4 relaxed with PBEsol.

a b c (Å): 6.7479 7.4011 8.6632
angles (deg): 90.00 126.92 90.00
With the nearest neighbours (Å) after each atom.
Element x y z (fractional)
1 Cr 0.1811 0.1654 0.2990  4 O 1.64-1.66
2 Cr 0.1811 0.3346 0.7990  4 O 1.64-1.66
3 Cr 0.8189 0.6654 0.2010  4 O 1.64-1.66
4 Cr 0.8189 0.8346 0.7010  4 O 1.64-1.66
5 Pb 0.3202 0.6430 0.2205  8 O 2.50-2.79
6 Pb 0.3202 0.8570 0.7205  8 O 2.50-2.79
7 Pb 0.6798 0.1430 0.2795  8 O 2.50-2.79
8 Pb 0.6798 0.3570 0.7795  8 O 2.50-2.79
9 O 0.1029 0.7135 0.3879  1 Cr 1.64
10 O 0.1029 0.7865 0.8879  1 Cr 1.64
11 O 0.1536 0.0981 0.4680  1 Cr 1.66
12 O 0.1536 0.4019 0.9680  1 Cr 1.66
13 O 0.3096 0.0090 0.2494  1 Cr 1.65
14 O 0.3096 0.4910 0.7494  1 Cr 1.65
15 O 0.3605 0.1537 0.8762  1 Cr 1.65
16 O 0.3605 0.3463 0.3762  1 Cr 1.65
17 O 0.6395 0.6537 0.6238  1 Cr 1.65
18 O 0.6395 0.8463 0.1238  1 Cr 1.65
19 O 0.6904 0.5090 0.2506  1 Cr 1.65
20 O 0.6904 0.9910 0.7506  1 Cr 1.65
21 O 0.8464 0.5981 0.0320  1 Cr 1.66
22 O 0.8464 0.9019 0.5320  1 Cr 1.66
23 O 0.8971 0.2135 0.1121  1 Cr 1.64
24 O 0.8971 0.2865 0.6121  1 Cr 1.64

volume	14.41	Å³ per atom
formation energy (no corrections)	-1020	kJ/mol of formula units



Density functional theory data (meta-GGA SCAN) for a crystal of InTe2P relaxed with PBEsol.

a b c (Å): 4.1924 4.1924 5.8253
angles (deg): 90.00 90.00 90.00
With the nearest neighbours (Å) after each atom.
Element x y z (fractional)
1 In 0.0000 0.0000 0.0000  6 Te 2.91-2.96
2 Te 0.0000 0.0000 0.5000  2 In 2.91, 4 P 2.96
3 Te 0.5000 0.5000 0.0000  2 P 2.91, 4 In 2.96
4 P 0.5000 0.5000 0.5000  6 Te 2.91-2.96

volume	25.60	Å³ per atom
formation energy (no corrections)	27	kJ/mol of formula units



Density functional theory data (meta-GGA SCAN) for a crystal of AlIn2Mo relaxed with PBEsol.

a b c (Å): 5.1448 5.1448 2.9945
angles (deg): 90.00 90.00 112.99
With the nearest neighbours (Å) after each atom.
Element x y z (fractional)
1 Al 0.0000 0.0000 0.0000  2 Mo 2.84, 8 In 2.98, 2 Al 2.99
2 In 0.0000 0.5000 0.5000  4 In 2.84-2.99, 4 Mo 2.98, 4 Al 2.98
3 In 0.5000 0.0000 0.5000  4 In 2.84-2.99, 4 Mo 2.98, 4 Al 2.98
4 Mo 0.5000 0.5000 0.0000  2 Al 2.84, 8 In 2.98, 2 Mo 2.99

volume	18.24	Å³ per atom
formation energy from the elements	1.14	eV/f.u.



Density functional theory data (meta-GGA SCAN) for a crystal of Ho2AgRu relaxed with PBEsol.

a b c (Å): 4.8454 4.8454 4.8454
angles (deg): 60.00 60.00 60.00
With the nearest neighbours (Å) after each atom.
Element x y z (fractional)
1 Ho 0.2500 0.2500 0.2500  4 Ru 2.97, 4 Ag 2.97
2 Ho 0.7500 0.7500 0.7500  4 Ru 2.97, 4 Ag 2.97
3 Ag 0.0000 0.0000 0.0000  8 Ho 2.97
4 Ru 0.5000 0.5000 0.5000  8 Ho 2.97

volume	20.11	Å³ per atom
formation energy from the elements	-1.86	eV/f.u.



Density functional theory data (meta-GGA SCAN) for a crystal of Mg2TiI relaxed with PBEsol.

a b c (Å): 5.1705 5.1705 5.1705
angles (deg): 60.00 60.00 60.00
With the nearest neighbours (Å) after each atom.
Element x y z (fractional)
1 Mg 0.2500 0.2500 0.2500  4 I 3.17, 4 Ti 3.17
2 Mg 0.7500 0.7500 0.7500  4 I 3.17, 4 Ti 3.17
3 Ti 0.0000 0.0000 0.0000  8 Mg 3.17
4 I 0.5000 0.5000 0.5000  8 Mg 3.17

volume	24.44	Å³ per atom
formation energy (no corrections)	221	kJ/mol of formula units



Density functional theory data (meta-GGA SCAN) for a crystal of Na2Nb4O11 relaxed with PBEsol.

a b c (Å): 6.2687 6.2687 12.8660
angles (deg): 103.97 103.97 59.31
With the nearest neighbours (Å) after each atom.
Element x y z (fractional)
1 Na 0.2440 0.7560 0.5000  5 O 2.42-2.67
2 Na 0.4229 0.9211 0.0082  7 O 2.46-2.75
3 Na 0.7560 0.2440 0.0000  5 O 2.42-2.67
4 Na 0.9211 0.4229 0.5082  7 O 2.46-2.75
5 Nb 0.0869 0.5718 0.0020  6 O 1.91-2.12
6 Nb 0.2054 0.9652 0.2475  6 O 1.90-2.08
7 Nb 0.3379 0.4776 0.7574  6 O 1.97-2.04
8 Nb 0.4776 0.3379 0.2574  6 O 1.97-2.04
9 Nb 0.5718 0.0869 0.5020  6 O 1.91-2.12
10 Nb 0.7012 0.8416 0.7568  6 O 1.96-2.04
11 Nb 0.8416 0.7012 0.2568  6 O 1.96-2.04
12 Nb 0.9652 0.2054 0.7475  6 O 1.90-2.08
13 O 0.0289 0.3085 0.9138  2 Nb 1.91-2.08
14 O 0.0875 0.3384 0.2553  2 Nb 1.99-2.05
15 O 0.0952 0.8392 0.7567  2 Nb 1.98-2.03
16 O 0.1485 0.8689 0.0959  2 Nb 1.90-2.12
17 O 0.1838 0.6859 0.2898  3 Nb 2.03-2.04
18 O 0.3085 0.0289 0.4138  2 Nb 1.91-2.08
19 O 0.3375 0.5236 0.9142  2 Nb 1.97-2.01
20 O 0.3384 0.0875 0.7553  2 Nb 1.99-2.05
21 O 0.3435 0.3656 0.5991  2 Nb 1.98-1.99
22 O 0.3656 0.3435 0.0991  2 Nb 1.98-1.99
23 O 0.4959 0.9955 0.2223  3 Nb 2.03-2.04
24 O 0.5236 0.3375 0.4142  2 Nb 1.97-2.01
25 O 0.5824 0.5952 0.2543  2 Nb 2.04
26 O 0.5952 0.5824 0.7543  2 Nb 2.04
27 O 0.6572 0.8439 0.5989  2 Nb 1.98-1.99
28 O 0.6859 0.1838 0.7898  3 Nb 2.03-2.04
29 O 0.8106 0.8347 0.9131  2 Nb 1.96-2.02
30 O 0.8347 0.8106 0.4131  2 Nb 1.96-2.02
31 O 0.8392 0.0952 0.2567  2 Nb 1.98-2.03
32 O 0.8439 0.6572 0.0989  2 Nb 1.98-1.99
33 O 0.8689 0.1485 0.5959  2 Nb 1.90-2.12
34 O 0.9955 0.4959 0.7223  3 Nb 2.03-2.04

volume	12.28	Å³ per atom
formation energy (no corrections)	-4396	kJ/mol of formula units



Density functional theory data (meta-GGA SCAN) for a crystal of AgTePt2 relaxed with PBEsol.

a b c (Å): 6.4181 6.4181 6.4181
angles (deg): 35.33 35.33 35.33
With the nearest neighbours (Å) after each atom.
Element x y z (fractional)
1 Ag 0.0000 0.0000 0.0000  3 Pt 2.67, 3 Te 2.94
2 Te 0.2287 0.2287 0.2287  3 Pt 2.64, 3 Ag 2.94
3 Pt 0.4855 0.4855 0.4855  3 Pt 2.60, 3 Te 2.64
4 Pt 0.7461 0.7461 0.7461  3 Pt 2.60, 3 Ag 2.67

volume	19.75	Å³ per atom
formation energy (no corrections)	2	kJ/mol of formula units



Density functional theory data (meta-GGA SCAN) for a crystal of HgAs2Ir relaxed with PBEsol.

a b c (Å): 6.1123 6.1123 6.1123
angles (deg): 152.44 134.21 54.28
With the nearest neighbours (Å) after each atom.
Element x y z (fractional)
1 Hg 0.0000 0.0000 0.0000  4 Ir 2.79, 2 Hg 2.91
2 As 0.3074 0.8074 0.5000  2 Ir 2.55
3 As 0.6926 0.1926 0.5000  2 Ir 2.55
4 Ir 0.5000 0.5000 0.0000  4 As 2.55, 4 Hg 2.79

volume	18.83	Å³ per atom
formation energy from the elements	0.58	eV/f.u.



Density functional theory data (meta-GGA SCAN) for a crystal of WAu3 relaxed with PBEsol.

a b c (Å): 5.0108 5.0108 5.0108
angles (deg): 90.00 90.00 90.00
With the nearest neighbours (Å) after each atom.
Element x y z (fractional)
1 W 0.0000 0.0000 0.0000  6 Au 2.51
2 Au 0.0000 0.0000 0.5000  2 W 2.51
3 Au 0.0000 0.5000 0.0000  2 W 2.51
4 Au 0.5000 0.0000 0.0000  2 W 2.51

volume	31.45	Å³ per atom
formation energy from the elements	5.89	eV/f.u.



Density functional theory data (meta-GGA SCAN) for a crystal of KSbMo2O8 relaxed with PBEsol.

a b c (Å): 5.0122 7.6765 10.0982
angles (deg): 91.75 101.68 107.07
With the nearest neighbours (Å) after each atom.
Element x y z (fractional)
1 K 0.0728 0.4611 0.1936  6 O 2.69-2.82
2 K 0.9272 0.5389 0.8064  6 O 2.69-2.82
3 Sb 0.4518 0.0330 0.3104  4 O 2.04-2.26
4 Sb 0.5482 0.9670 0.6896  4 O 2.04-2.26
5 Mo 0.1309 0.2423 0.5767  4 O 1.71-1.87
6 Mo 0.2860 0.1322 0.9611  3 O 1.71-1.89
7 Mo 0.7140 0.8678 0.0389  3 O 1.71-1.89
8 Mo 0.8691 0.7577 0.4233  4 O 1.71-1.87
9 O 0.0163 0.7069 0.5817  1 Mo 1.73
10 O 0.1303 0.0261 0.1160  2 Mo 1.98-2.06
11 O 0.1478 0.7941 0.3227  1 Mo 1.85, 1 Sb 2.04
12 O 0.2341 0.3416 0.9715  1 Mo 1.71
13 O 0.2967 0.0688 0.5258  1 Mo 1.87
14 O 0.3511 0.1198 0.7838  1 Mo 1.89, 1 Sb 2.06
15 O 0.3650 0.8356 0.9397  1 Mo 1.77
16 O 0.3848 0.4414 0.6500  1 Mo 1.71
17 O 0.6152 0.5586 0.3500  1 Mo 1.71
18 O 0.6350 0.1644 0.0603  1 Mo 1.77
19 O 0.6489 0.8802 0.2162  1 Mo 1.89, 1 Sb 2.06
20 O 0.7033 0.9312 0.4742  1 Mo 1.87
21 O 0.7659 0.6584 0.0285  1 Mo 1.71
22 O 0.8522 0.2059 0.6773  1 Mo 1.85, 1 Sb 2.04
23 O 0.8697 0.9739 0.8840  2 Mo 1.98-2.06
24 O 0.9837 0.2931 0.4183  1 Mo 1.73

volume	15.09	Å³ per atom
formation energy (no corrections)	-2362	kJ/mol of formula units



Density functional theory data (meta-GGA SCAN) for a crystal of BeCo2Tc relaxed with PBEsol.

a b c (Å): 2.6224 2.6224 6.0145
angles (deg): 90.00 90.00 90.00
With the nearest neighbours (Å) after each atom.
Element x y z (fractional)
1 Be 0.0000 0.0000 0.0000  4 Co 2.19
2 Co 0.0000 0.0000 0.4520  8 Co 2.42-2.62, 4 Tc 2.50
3 Co 0.5000 0.5000 0.1938  4 Be 2.19, 4 Co 2.42
4 Tc 0.5000 0.5000 0.7312  4 Be 2.46, 4 Co 2.50, 4 Tc 2.62

volume	10.34	Å³ per atom
formation energy from the elements	-0.07	eV/f.u.